# 1
Computed, not measured: K2TlIn at its PBEsol-relaxed geometry at the SCAN level of DFT.

- ΔE to the lowest computed polymorph (meV/atom) = 48
- symmetry = Cm

```
K2TlIn
1.0
3.8732 0.0000 0.0000
0.0000 6.1163 -0.0394
-1.9366 -2.8819 6.1228
In Tl K
1 1 2
Direct
0.2169 0.7241 0.4339
0.5311 0.5238 0.0623
0.7774 0.2815 0.5548
0.9745 0.9706 0.9491
```

***

# 2
Computed, not measured: KTlIn2 at its PBEsol-relaxed geometry at the SCAN level of DFT.

- ΔE to the lowest computed polymorph (meV/atom) = 17
- symmetry = Cmm2

```
KTlIn2
1.0
3.7929 0.0095 0.0000
-0.0784 3.7921 0.0000
0.0000 0.0000 8.2277
Tl In K
1 2 1
Direct
0.5000 0.5000 0.2080
0.0000 0.0000 0.9940
0.5000 0.5000 0.7970
0.0000 0.0000 0.5011
```

***

# 3
Computed, not measured: K2TlIn at its PBEsol-relaxed geometry at the SCAN level of DFT.

- ΔE to the lowest computed polymorph (meV/atom) = 101
- symmetry = P4mm

```
K2TlIn
1.0
-3.9136 -0.0930 0.6394
-0.1794 -3.6143 -1.6242
1.5467 -4.0651 8.8752
Tl In K
1 1 2
Direct
0.0000 0.0000 0.5446
0.5000 0.5000 0.7039
0.0000 0.0000 0.9333
0.5000 0.5000 0.3182
```

***

# 4
Computed, not measured: KTlIn2 at its PBEsol-relaxed geometry at the SCAN level of DFT.

- ΔE to the lowest computed polymorph (meV/atom) = 49
- symmetry = P2/m

```
KTlIn2
1.0
3.3852 0.0000 0.0947
0.0000 4.7875 0.0000
-1.4600 0.0000 7.3558
In Tl K
2 1 1
Direct
0.9148 0.0000 0.7060
0.0852 0.0000 0.2940
0.5000 0.5000 0.5000
0.5000 0.5000 0.0000
```

***

# 5
Computed, not measured: KTlIn2 at its PBEsol-relaxed geometry at the SCAN level of DFT.

- ΔE to the lowest computed polymorph (meV/atom) = 107
- symmetry = Immm

```
KTlIn2
1.0
4.1236 0.0000 0.0000
0.0000 5.2957 0.0000
-2.0618 -2.6478 5.3526
Tl K In
1 1 2
Direct
0.5000 0.0000 0.0000
0.0000 0.5000 0.0000
0.2343 0.2343 0.4685
0.7657 0.7657 0.5315
```

***

# 6
Computed, not measured: KTlIn at its PBEsol-relaxed geometry at the SCAN level of DFT.

- ΔE to the lowest computed polymorph (meV/atom) = 0
- symmetry = P-6m2

```
KTlIn
1.0
-1.0472 -0.6419 3.5409
3.3005 -4.0921 0.2342
1.6631 4.8032 1.3626
K Tl In
1 1 1
Direct
0.0000 0.3333 0.6667
0.5000 0.6667 0.3333
0.5000 0.0000 0.0000
```

***

# 7
Computed, not measured: KTlIn2 at its PBEsol-relaxed geometry at the SCAN level of DFT.

- ΔE to the lowest computed polymorph (meV/atom) = 10
- symmetry = Cm

```
KTlIn2
1.0
-1.3003 2.9704 1.2265
-3.5846 -3.4573 -0.3268
2.4648 -1.8461 7.0840
In K Tl
2 1 1
Direct
0.0010 0.0020 0.0105
0.7427 0.4854 0.1913
0.4998 0.9996 0.4978
0.2565 0.5130 0.8004
```

***

# 8
Computed, not measured: KTlIn2 at its PBEsol-relaxed geometry at the SCAN level of DFT.

- ΔE to the lowest computed polymorph (meV/atom) = 63
- symmetry = P4/mmm

```
KTlIn2
1.0
-1.2223 -2.9488 2.1475
2.4688 -2.3361 -1.8026
5.7153 1.7139 5.6064
Tl K In
1 1 2
Direct
0.5000 0.5000 0.5000
0.5000 0.5000 0.0000
0.0000 0.0000 0.7016
0.0000 0.0000 0.2984
```

***

# 9
Computed, not measured: KTlIn2 at its PBEsol-relaxed geometry at the SCAN level of DFT.

- ΔE to the lowest computed polymorph (meV/atom) = 0
- symmetry = Pm

```
KTlIn2
1.0
3.3788 0.0000 0.0493
0.0000 4.7443 0.0000
-1.4957 0.0000 7.4009
K Tl In
1 1 2
Direct
0.9895 0.0000 0.4992
0.5825 0.5000 0.7914
0.0289 0.0000 0.0042
0.3991 0.5000 0.2052
```

***

# 10
Computed, not measured: K2TlIn at its PBEsol-relaxed geometry at the SCAN level of DFT.

- ΔE to the lowest computed polymorph (meV/atom) = 0
- symmetry = F-43m

```
K2TlIn
1.0
-4.5026 3.2960 0.1573
-5.1053 -2.2302 -0.3526
-3.3397 -0.0485 4.4728
K In Tl
2 1 1
Direct
0.7500 0.7500 0.7500
0.0000 0.0000 0.0000
0.2500 0.2500 0.2500
0.5000 0.5000 0.5000
```

***

# 11
Computed, not measured: KTlIn2 at its PBEsol-relaxed geometry at the SCAN level of DFT.

- ΔE to the lowest computed polymorph (meV/atom) = 36
- symmetry = F-43m

```
KTlIn2
1.0
5.3969 0.0000 0.0000
2.6984 4.6738 0.0000
2.6984 1.5579 4.4065
K Tl In
1 1 2
Direct
0.5000 0.5000 0.5000
0.2500 0.2500 0.2500
0.7500 0.7500 0.7500
0.0000 0.0000 0.0000
```

***

# 12
Computed, not measured: KTlInW2 at its PBEsol-relaxed geometry at the SCAN level of DFT.

- symmetry = P4/mmm

```
KTlInW2
1.0
-2.0227 -4.0643 2.4058
3.8748 -2.9244 -1.6827
3.0444 1.2987 4.7535
Tl W In K
1 2 1 1
Direct
0.5000 0.5000 0.5000
0.5000 0.0000 0.0000
0.0000 0.5000 0.0000
0.0000 0.0000 0.0000
0.0000 0.0000 0.5000
```

***

# 13
Computed, not measured: KIn2W at its PBEsol-relaxed geometry at the SCAN level of DFT.

- ΔE to the lowest computed polymorph (meV/atom) = 0
- symmetry = Pmm2

```
KIn2W
1.0
2.9184 0.0000 0.0000
0.0000 4.6781 0.0000
0.0000 0.0000 8.2797
W In K
1 2 1
Direct
0.5000 0.5000 0.8689
0.0000 0.0000 0.9193
0.5000 0.5000 0.1973
0.0000 0.0000 0.5146
```

***

# 14
Computed, not measured: KIn2W at its PBEsol-relaxed geometry at the SCAN level of DFT.

- ΔE to the lowest computed polymorph (meV/atom) = 27
- symmetry = P4mm

```
KIn2W
1.0
2.9420 0.0000 0.0000
0.0000 2.9420 0.0000
0.0000 0.0000 10.4859
W In K
1 2 1
Direct
0.5000 0.5000 0.7834
0.0000 0.0000 0.9826
0.5000 0.5000 0.2237
0.0000 0.0000 0.5104
```

***

# 15
Computed, not measured: K2YIn at its PBEsol-relaxed geometry at the SCAN level of DFT.

- symmetry = R-3m

```
K2YIn
1.0
3.5889 0.0000 0.0000
1.7945 3.1081 0.0000
1.7945 1.0360 13.2440
In K Y
1 2 1
Direct
0.5000 0.5000 0.5000
0.7562 0.7562 0.7313
0.2438 0.2438 0.2687
0.0000 0.0000 0.0000
```

***

# 16
Computed, not measured: K2YIn at its PBEsol-relaxed geometry at the SCAN level of DFT.

- symmetry = P4/mmm

```
K2YIn
1.0
-0.5202 0.0744 4.6824
3.1060 -3.5204 0.4009
5.0616 4.5217 0.4905
In K Y
1 2 1
Direct
0.5000 0.5000 0.5000
0.0000 0.0000 0.2715
0.0000 0.0000 0.7285
0.5000 0.5000 0.0000
```

***

# 17
Computed, not measured: K2ZnIn at its PBEsol-relaxed geometry at the SCAN level of DFT.

- symmetry = Imm2

```
K2ZnIn
1.0
-0.2683 -1.6458 -4.0502
5.6117 -2.0719 0.4701
-4.5392 -2.7465 3.7852
In K Zn
1 2 1
Direct
0.1882 0.6882 0.3765
0.9739 0.9739 0.9478
0.7819 0.2819 0.5639
0.5559 0.5559 0.1119
```

***

# 18
Computed, not measured: KZn2In at its PBEsol-relaxed geometry at the SCAN level of DFT.

- symmetry = R3m

```
KZn2In
1.0
-3.4671 -0.6184 -2.7374
-0.3731 -3.8019 -2.3028
-4.5414 -4.0013 3.0218
Zn K In
2 1 1
Direct
0.7323 0.7323 0.8031
0.0628 0.0628 0.8116
0.2565 0.2565 0.2305
0.4515 0.4515 0.6454
```

***

# 19
Computed, not measured: KZnIn2 at its PBEsol-relaxed geometry at the SCAN level of DFT.

- symmetry = Pmm2

```
KZnIn2
1.0
-0.2678 1.4067 -3.0586
0.5055 -3.6034 -1.7015
-7.9266 -1.1828 0.1501
In K Zn
2 1 1
Direct
0.0000 0.0000 0.9672
0.5000 0.5000 0.1973
0.0000 0.0000 0.5155
0.5000 0.5000 0.8201
```

***

# 20
Computed, not measured: KZn2In at its PBEsol-relaxed geometry at the SCAN level of DFT.

- symmetry = C2/m

```
KZn2In
1.0
2.9291 -0.0766 -0.1098
-0.7702 5.8918 -0.0854
-0.7702 -2.1170 5.4990
Zn K In
2 1 1
Direct
0.0000 0.5000 0.0000
0.0000 0.0000 0.5000
0.5000 0.5000 0.5000
0.5000 0.0000 0.0000
```

***

no.,calculated density (g cm⁻³),energy of formation from the pure elements (eV per formula unit)
1,4.56,-0.7
2,6.64,-0.5
3,4.24,-0.4
4,6.55,-0.4
5,6.72,-0.2
6,6.62,-0.6
7,6.32,-0.5
8,6.48,-0.3
9,6.60,-0.6
10,5.36,-0.8
11,7.07,-0.4
12,7.88,11.5
13,6.65,2.9
14,8.28,3.0
15,3.17,1.2
16,3.10,1.3
17,3.05,-0.2
18,4.39,-0.4
19,5.10,0.1
20,5.06,1.2